Entry from Alexandria via LeMat-Bulk: Te2PbWN at its PBEsol-relaxed geometry (SCAN).

- Energy relative to the elements, uncorrected: 0.19 eV/atom
- SG: No. 123
- N(E_F): 2.29 states/eV/cell

Cell: 5.493 5.493 3.825 Å, 90.00 90.00 90.00°
Element x y z (fractional)
Te 0.000 0.500 0.000
Te 0.500 0.000 0.000
Pb 0.000 0.000 0.500
W 0.500 0.500 0.000
N 0.500 0.500 0.500

=====

Entry from Alexandria via LeMat-Bulk: TePbWN2 at its PBEsol-relaxed geometry (SCAN).

- Energy relative to the elements, uncorrected: 0.51 eV/atom
- SG: No. 123
- N(E_F): 1.65 states/eV/cell

Cell: 4.078 4.078 5.473 Å, 90.00 90.00 90.00°
Element x y z (fractional)
Te 0.000 0.000 0.000
Pb 0.500 0.500 0.000
W 0.000 0.000 0.500
N 0.000 0.500 0.500
N 0.500 0.000 0.500

=====

Entry from Alexandria via LeMat-Bulk: ZnTePbN2 at its PBEsol-relaxed geometry (SCAN).

- Energy relative to the elements, uncorrected: 1.22 eV/atom
- SG: No. 123
- N(E_F): 1.19 states/eV/cell

Cell: 4.255 4.255 5.392 Å, 90.00 90.00 90.00°
Element x y z (fractional)
Zn 0.000 0.000 0.000
Te 0.000 0.000 0.500
Pb 0.500 0.500 0.500
N 0.000 0.500 0.000
N 0.500 0.000 0.000